PaFeSi: relaxed, PBE.

Summary:
Calculated total energy, eV per atom: -7.066
Symmetry: F-43m
Crystal system: cubic

POSCAR file:
```
PaFeSi
1.0
6.3217 0.0000 0.0000
0.0000 6.3217 0.0000
0.0000 0.0000 6.3217
Pa Fe Si
4 4 4
Cartesian
0.0000 0.0000 0.0000 Pa
0.0000 3.1608 3.1608 Pa
3.1608 0.0000 3.1608 Pa
3.1608 3.1608 0.0000 Pa
1.5804 1.5804 4.7413 Fe
1.5804 4.7413 1.5804 Fe
4.7413 1.5804 1.5804 Fe
4.7413 4.7413 4.7413 Fe
1.5804 1.5804 1.5804 Si
1.5804 4.7413 4.7413 Si
4.7413 1.5804 4.7413 Si
4.7413 4.7413 1.5804 Si
```

AcNbAu: relaxed, PBE.

Summary:
Calculated formation energy, eV/atom: 0.60
Symmetry: F-43m
Crystal system: cubic

POSCAR file:
```
AcNbAu
1.0
6.8439 0.0000 0.0000
0.0000 6.8439 0.0000
0.0000 0.0000 6.8439
Ac Nb Au
4 4 4
Cartesian
0.0000 0.0000 0.0000 Ac
0.0000 3.4220 3.4220 Ac
3.4220 0.0000 3.4220 Ac
3.4220 3.4220 0.0000 Ac
1.7110 1.7110 1.7110 Nb
1.7110 5.1329 5.1329 Nb
5.1329 1.7110 5.1329 Nb
5.1329 5.1329 1.7110 Nb
0.0000 0.0000 3.4220 Au
0.0000 3.4220 0.0000 Au
3.4220 0.0000 0.0000 Au
3.4220 3.4220 3.4220 Au
```